# 1
Here is a geometry-optimized GaSbN2F structure from Alexandria. Energies are from PBE-GGA.

Geometry as POSCAR:
```
GaSbN2F
1.0
4.076 0.000 0.000
0.000 4.076 0.000
0.000 0.000 4.237
Ga Sb N F
1 1 2 1
Direct
0.000 0.000 0.000
0.500 0.500 0.500
0.000 0.500 0.500
0.500 0.000 0.500
0.500 0.500 0.000
```

Calculated values
**Magnetic moment**: 0.00 μB/atom
**Excess energy over the best structure of this formula in the dataset**: 200 meV per atom
**Space-group type**: P4/mmm, No. 123
**Formation energy without anion corrections**: 35.6 kJ/mol of atoms
**Volume**: 70.4 Å³ per cell

# 2
Here is a geometry-optimized MgPtRh2 structure from Alexandria. Energies are from PBE-GGA.

Geometry as POSCAR:
```
MgPtRh2
1.0
0.000 3.131 3.131
3.131 0.000 3.131
3.131 3.131 0.000
Mg Pt Rh
1 1 2
Direct
0.000 0.000 0.000
0.250 0.250 0.250
0.500 0.500 0.500
0.750 0.750 0.750
```

Calculated values
**Total DFT energy (no corrections)**: -23.04 eV/cell
**Magnetic moment**: 0.45 μB/atom
**Space-group type**: F-43m, No. 216
**Volume**: 61.4 Å³ per cell

# 3
Here is a geometry-optimized KYPt3 structure from Alexandria. Energies are from PBE-GGA.

Geometry as POSCAR:
```
KYPt3
1.0
5.281 0.000 0.000
0.000 5.281 0.000
0.000 0.000 5.281
K Y Pt
1 1 3
Direct
0.000 0.000 0.000
0.500 0.500 0.500
0.000 0.500 0.500
0.500 0.000 0.500
0.500 0.500 0.000
```

Calculated values
**Magnetic moment**: 0.00 μB/atom
**Excess energy over the best structure of this formula in the dataset**: 0 meV per atom
**Space-group type**: Pm-3m, No. 221
**Volume**: 147.3 Å³ per cell

# 4
Here is a geometry-optimized BeIn2P structure from Alexandria. Energies are from PBE-GGA.

Geometry as POSCAR:
```
BeIn2P
1.0
-1.871 2.751 3.911
1.871 -2.751 3.911
1.871 2.751 -3.911
Be In P
1 2 1
Direct
0.000 0.000 0.000
0.239 0.739 0.500
0.761 0.261 0.500
0.500 0.500 0.000
```

Calculated values
**Magnetic moment**: 0.00 μB/atom
**Excess energy over the best structure of this formula in the dataset**: 425 meV per atom
**Space-group type**: Immm, No. 71
**Volume**: 80.5 Å³ per cell

# 5
Here is a geometry-optimized La8CoOsPd2 structure from Alexandria. Energies are from PBE-GGA.

Geometry as POSCAR:
```
La8CoOsPd2
1.0
6.828 0.000 0.000
0.000 8.438 0.000
-0.198 0.000 6.869
La Co Os Pd
8 1 1 2
Direct
0.157 0.248 0.274
0.157 0.752 0.274
0.328 0.000 0.733
0.341 0.500 0.746
0.659 0.500 0.254
0.672 0.000 0.267
0.843 0.248 0.726
0.843 0.752 0.726
0.000 0.000 0.500
0.000 0.500 0.500
0.500 0.243 0.000
0.500 0.757 0.000
```

Calculated values
**Total DFT energy (no corrections)**: -71.78 eV/cell
**Magnetic moment**: 0.00 μB/atom
**Space-group type**: P2/m, No. 10
**Volume**: 395.7 Å³ per cell

# 6
Here is a geometry-optimized Li2TcH6 structure from Alexandria. Energies are from PBE-GGA.

Geometry as POSCAR:
```
Li2TcH6
1.0
0.000 3.437 3.437
3.437 0.000 3.437
3.437 3.437 0.000
Li Tc H
2 1 6
Direct
0.250 0.250 0.250
0.750 0.750 0.750
0.000 0.000 0.000
0.256 0.256 0.744
0.256 0.744 0.256
0.256 0.744 0.744
0.744 0.256 0.256
0.744 0.256 0.744
0.744 0.744 0.256
```

Calculated values
**Magnetic moment**: 0.33 μB/atom
**Excess energy over the best structure of this formula in the dataset**: 318 meV per atom
**Space-group type**: Fm-3m, No. 225
**Volume**: 81.2 Å³ per cell

# 7
Here is a geometry-optimized Ba4AgSn structure from Alexandria. Energies are from PBE-GGA.

Geometry as POSCAR:
```
Ba4AgSn
1.0
5.514 -7.891 0.000
5.514 7.891 0.000
-4.699 0.000 6.489
Ba Ag Sn
8 2 2
Direct
0.059 0.688 0.900
0.247 0.358 0.731
0.312 0.941 0.600
0.358 0.247 0.231
0.642 0.753 0.769
0.688 0.059 0.400
0.753 0.642 0.269
0.941 0.312 0.100
0.001 0.999 0.250
0.999 0.001 0.750
0.366 0.634 0.250
0.634 0.366 0.750
```

Calculated values
**Total DFT energy (no corrections)**: -32.95 eV/cell
**Magnetic moment**: 0.00 μB/atom
**Space-group type**: C2/c, No. 15
**Volume**: 564.7 Å³ per cell

# 8
Here is a geometry-optimized Pr7GaGe5 structure from Alexandria. Energies are from PBE-GGA.

Geometry as POSCAR:
```
Pr7GaGe5
1.0
-3.171 5.603 5.122
3.171 -5.603 5.122
3.171 5.603 -5.122
Pr Ga Ge
7 1 5
Direct
0.000 0.000 0.000
0.016 0.711 0.304
0.399 0.399 0.000
0.407 0.711 0.696
0.536 0.036 0.500
0.614 0.281 0.334
0.947 0.281 0.666
0.703 0.703 0.000
0.014 0.514 0.500
0.247 0.192 0.469
0.247 0.778 0.055
0.723 0.192 0.945
0.723 0.778 0.531
```

Calculated values
**Total DFT energy (no corrections)**: -66.08 eV/cell
**Magnetic moment**: 0.00 μB/atom
**Space-group type**: Imm2, No. 44
**Volume**: 364.1 Å³ per cell

# 9
Here is a geometry-optimized Tm2InSn2 structure from Alexandria. Energies are from PBE-GGA.

Geometry as POSCAR:
```
Tm2InSn2
1.0
7.805 0.000 0.000
0.000 7.805 0.000
0.000 0.000 4.339
Tm In Sn
4 2 4
Direct
0.173 0.327 0.000
0.327 0.827 0.000
0.673 0.173 0.000
0.827 0.673 0.000
0.000 0.000 0.500
0.500 0.500 0.500
0.132 0.632 0.500
0.368 0.132 0.500
0.632 0.868 0.500
0.868 0.368 0.500
```

Calculated values
**Total DFT energy (no corrections)**: -44.17 eV/cell
**Magnetic moment**: 0.00 μB/atom
**Space-group type**: P4/mbm, No. 127
**Volume**: 264.3 Å³ per cell

# 10
Here is a geometry-optimized Ba2TiS4 structure from Alexandria. Energies are from PBE-GGA.

Geometry as POSCAR:
```
Ba2TiS4
1.0
9.142 0.000 0.000
0.000 6.897 0.000
0.000 0.000 12.643
Ba Ti S
8 4 16
Direct
0.023 0.250 0.175
0.132 0.750 0.425
0.368 0.250 0.925
0.477 0.750 0.675
0.523 0.250 0.325
0.632 0.750 0.075
0.868 0.250 0.575
0.977 0.750 0.825
0.227 0.750 0.072
0.273 0.250 0.572
0.727 0.750 0.428
0.773 0.250 0.928
0.019 0.250 0.911
0.168 0.508 0.648
0.168 0.992 0.648
0.193 0.250 0.403
0.307 0.750 0.903
0.332 0.008 0.148
0.332 0.492 0.148
0.481 0.750 0.411
0.519 0.250 0.589
0.668 0.508 0.852
0.668 0.992 0.852
0.693 0.250 0.097
0.807 0.750 0.597
0.832 0.008 0.352
0.832 0.492 0.352
0.981 0.750 0.089
```

Calculated values
**Magnetic moment**: 0.00 μB/atom
**Space-group type**: Pnma, No. 62
**Formation energy without anion corrections**: -175.2 kJ/mol of atoms
**Volume**: 797.1 Å³ per cell

# 11
Here is a geometry-optimized BaBeNiP2 structure from Alexandria. Energies are from PBE-GGA.

Geometry as POSCAR:
```
BaBeNiP2
1.0
4.257 0.000 0.000
0.000 4.257 0.000
0.000 0.000 5.682
Ba Be Ni P
1 1 1 2
Direct
0.000 0.000 0.000
0.000 0.000 0.500
0.500 0.500 0.000
0.000 0.500 0.500
0.500 0.000 0.500
```

Calculated values
**Magnetic moment**: 0.12 μB/atom
**Excess energy over the best structure of this formula in the dataset**: 1145 meV per atom
**Space-group type**: P4/mmm, No. 123
**Volume**: 103.0 Å³ per cell

# 12
Here is a geometry-optimized La5Nd3Sm3 structure from Alexandria. Energies are from PBE-GGA.

Geometry as POSCAR:
```
La5Nd3Sm3
1.0
11.560 0.000 0.000
-5.780 10.012 0.000
0.000 0.000 3.514
La Nd Sm
5 3 3
Direct
0.000 0.339 0.000
0.333 0.667 0.000
0.339 0.000 0.000
0.661 0.661 0.000
0.667 0.333 0.000
0.000 0.599 0.500
0.401 0.401 0.500
0.599 0.000 0.500
0.000 0.840 0.000
0.160 0.160 0.000
0.840 0.000 0.000
```

Calculated values
**Total DFT energy (no corrections)**: -50.09 eV/cell
**Magnetic moment**: 0.00 μB/atom
**Space-group type**: P-62m, No. 189
**Volume**: 406.7 Å³ per cell

# 13
Here is a geometry-optimized KCoOsCl6 structure from Alexandria. Energies are from PBE-GGA.

Geometry as POSCAR:
```
KCoOsCl6
1.0
6.336 0.000 0.000
-3.168 5.487 0.000
0.000 0.000 6.972
K Co Os Cl
1 1 1 6
Direct
0.000 0.000 0.000
0.333 0.667 0.500
0.667 0.333 0.500
0.378 0.009 0.693
0.378 0.369 0.307
0.631 0.009 0.307
0.631 0.622 0.693
0.991 0.369 0.693
0.991 0.622 0.307
```

Calculated values
**Magnetic moment**: 0.45 μB/atom
**Space-group type**: P312, No. 149
**Formation energy without anion corrections**: -71.7 kJ/mol of atoms
**Volume**: 242.4 Å³ per cell

# 14
Here is a geometry-optimized CaPrPCl structure from Alexandria. Energies are from PBE-GGA.

Geometry as POSCAR:
```
CaPrPCl
1.0
2.045 1.181 7.268
-2.045 1.181 7.268
0.000 -2.361 7.268
Ca Pr P Cl
1 1 1 1
Direct
0.000 0.000 0.000
0.809 0.809 0.809
0.401 0.401 0.401
0.575 0.575 0.575
```

Calculated values
**Magnetic moment**: 0.17 μB/atom
**Space-group type**: R3m, No. 160
**Formation energy without anion corrections**: -150.3 kJ/mol of atoms
**Volume**: 105.3 Å³ per cell

# 15
Here is a geometry-optimized TiPt5Rh2 structure from Alexandria. Energies are from PBE-GGA.

Geometry as POSCAR:
```
TiPt5Rh2
1.0
5.540 0.000 0.000
0.000 11.282 0.000
0.000 0.000 3.880
Ti Pt Rh
2 10 4
Direct
0.000 0.000 0.000
0.500 0.500 0.000
0.000 0.500 0.000
0.006 0.241 0.000
0.248 0.621 0.500
0.252 0.121 0.500
0.494 0.741 0.000
0.500 0.000 0.000
0.506 0.259 0.000
0.748 0.879 0.500
0.752 0.379 0.500
0.994 0.759 0.000
0.243 0.878 0.500
0.257 0.378 0.500
0.743 0.622 0.500
0.757 0.122 0.500
```

Calculated values
**Total DFT energy (no corrections)**: -112.62 eV/cell
**Magnetic moment**: 0.00 μB/atom
**Space-group type**: Pbam, No. 55
**Volume**: 242.5 Å³ per cell

# 16
Here is a geometry-optimized DyGeB structure from Alexandria. Energies are from PBE-GGA.

Geometry as POSCAR:
```
DyGeB
1.0
3.633 0.000 0.000
-1.816 3.146 0.000
0.000 0.000 4.200
Dy Ge B
1 1 1
Direct
0.000 0.000 0.000
0.667 0.333 0.514
0.333 0.667 0.435
```

Calculated values
**Magnetic moment**: 0.00 μB/atom
**Excess energy over the best structure of this formula in the dataset**: 20 meV per atom
**Space-group type**: P3m1, No. 156
**Volume**: 48.0 Å³ per cell

# 17
Here is a geometry-optimized Be2CuSi structure from Alexandria. Energies are from PBE-GGA.

Geometry as POSCAR:
```
Be2CuSi
1.0
2.713 0.000 0.000
0.000 3.293 0.000
0.000 0.000 4.739
Be Cu Si
2 1 1
Direct
0.000 0.000 0.248
0.000 0.000 0.752
0.500 0.500 0.500
0.500 0.500 0.000
```

Calculated values
**Magnetic moment**: 0.00 μB/atom
**Space-group type**: Pmmm, No. 47
**Formation energy without anion corrections**: 10.4 kJ/mol of atoms
**Volume**: 42.3 Å³ per cell

# 18
Here is a geometry-optimized Rb2ZnBr4 structure from Alexandria. Energies are from PBE-GGA.

Geometry as POSCAR:
```
Rb2ZnBr4
1.0
7.844 0.000 0.000
0.000 9.797 0.000
-7.386 0.000 13.799
Rb Zn Br
8 4 16
Direct
0.036 0.004 0.322
0.036 0.496 0.822
0.360 0.120 0.096
0.360 0.380 0.596
0.640 0.620 0.404
0.640 0.880 0.904
0.964 0.504 0.178
0.964 0.996 0.678
0.328 0.724 0.083
0.328 0.776 0.583
0.672 0.224 0.417
0.672 0.276 0.917
0.116 0.666 0.428
0.116 0.834 0.928
0.245 0.697 0.707
0.245 0.803 0.207
0.296 0.021 0.574
0.296 0.479 0.074
0.344 0.195 0.869
0.344 0.305 0.369
0.656 0.695 0.631
0.656 0.805 0.131
0.704 0.521 0.926
0.704 0.979 0.426
0.755 0.197 0.793
0.755 0.303 0.293
0.884 0.166 0.072
0.884 0.334 0.572
```

Calculated values
**Magnetic moment**: 0.00 μB/atom
**Excess energy over the best structure of this formula in the dataset**: 4 meV per atom
**Space-group type**: P2_1/c, No. 14
**Formation energy without anion corrections**: -137.1 kJ/mol of atoms
**Volume**: 1060.5 Å³ per cell

# 19
Here is a geometry-optimized TlAgSeBr2 structure from Alexandria. Energies are from PBE-GGA.

Geometry as POSCAR:
```
TlAgSeBr2
1.0
5.505 0.000 0.000
0.000 5.505 0.000
0.000 0.000 5.131
Tl Ag Se Br
1 1 1 2
Direct
0.000 0.000 0.000
0.500 0.500 0.500
0.500 0.500 0.000
0.000 0.500 0.500
0.500 0.000 0.500
```

Calculated values
**Magnetic moment**: 0.23 μB/atom
**Excess energy over the best structure of this formula in the dataset**: 0 meV per atom
**Space-group type**: P4/mmm, No. 123
**Formation energy without anion corrections**: -15.0 kJ/mol of atoms
**Volume**: 155.5 Å³ per cell

# 20
Here is a geometry-optimized ZnCo2W structure from Alexandria. Energies are from PBE-GGA.

Geometry as POSCAR:
```
ZnCo2W
1.0
2.681 0.000 0.000
0.000 4.287 0.000
0.000 0.000 4.406
Zn Co W
1 2 1
Direct
0.000 0.000 0.000
0.500 0.000 0.516
0.500 0.500 0.902
0.000 0.500 0.402
```

Calculated values
**Total DFT energy (no corrections)**: -27.97 eV/cell
**Magnetic moment**: 0.07 μB/atom
**Space-group type**: Pmm2, No. 25
**Volume**: 50.6 Å³ per cell